[1]
A relaxed structure of Nd5Sm8Pb, computed with PBE.

a = 14.496 Å, b = 9.113 Å, c = 9.215 Å
α = 90.00°, β = 126.88°, γ = 90.00°
Space group C2 (No. 5)
One atom of each set of equivalent atoms:
Nd (0.000, 0.000, 0.000)
Nd (0.051, 0.341, 0.873)
Nd (0.090, 0.664, 0.248)
Sm (0.079, 0.083, 0.432)
Sm (0.173, 0.447, 0.644)
Sm (0.235, 0.316, 0.332)
Sm (0.237, 0.631, 0.049)
Pb (0.000, 0.749, 0.500)

Computed properties:
* volume: 34.77 Å³/atom
* ΔE_f: 135 kJ/mol of formula units
* crystal system: monoclinic
* magnetization: 0.00 μB/cell

---

[2]
A relaxed structure of NdSm8Pb2, computed with PBE.

a = 16.664 Å, b = 6.856 Å, c = 6.463 Å
α = 90.00°, β = 95.05°, γ = 90.00°
Space group C2/m (No. 12)
One atom of each set of equivalent atoms:
Nd (0.000, 0.000, 0.000)
Sm (0.083, 0.500, 0.896)
Sm (0.097, 0.255, 0.403)
Sm (0.211, 0.000, 0.833)
Pb (0.245, 0.500, 0.669)

Computed properties:
* volume: 33.44 Å³/atom
* ΔE_f: -103 kJ/mol of formula units
* crystal system: monoclinic
* magnetization: 0.00 μB/cell

---

[3]
A relaxed structure of Nd4SmPb5, computed with PBE.

a = 3.600 Å, b = 3.600 Å, c = 23.139 Å
α = 90.00°, β = 90.00°, γ = 90.00°
Space group P4/mmm (No. 123)
One atom of each set of equivalent atoms:
Nd (0.000, 0.000, 0.100)
Nd (0.000, 0.000, 0.301)
Sm (0.000, 0.000, 0.500)
Pb (0.500, 0.500, 0.000)
Pb (0.500, 0.500, 0.201)
Pb (0.500, 0.500, 0.402)

Computed properties:
* volume: 29.99 Å³/atom
* ΔE_f: -493 kJ/mol of formula units
* crystal system: tetragonal
* magnetization: 0.00 μB/cell

---

[4]
A relaxed structure of NdSmPb, computed with PBE.

a = 4.672 Å, b = 4.672 Å, c = 8.892 Å
α = 90.00°, β = 90.00°, γ = 90.00°
Space group P4/nmm (No. 129, origin choice 2)
One atom of each set of equivalent atoms:
Nd (0.250, 0.250, 0.153)
Sm (0.250, 0.750, 0.500)
Pb (0.250, 0.250, 0.781)

Computed properties:
* relative energy among the computed polymorphs: 0 meV/atom
* volume: 32.35 Å³/atom
* ΔE_f: -129 kJ/mol of formula units
* crystal system: tetragonal
* magnetization: 0.00 μB/cell

---

[5]
A relaxed structure of NdSm2Pb3, computed with PBE.

a = 9.544 Å, b = 14.656 Å, c = 5.953 Å
α = 90.00°, β = 115.81°, γ = 90.00°
Space group C2/c (No. 15)
One atom of each set of equivalent atoms:
Nd (0.000, 0.083, 0.250)
Sm (0.000, 0.249, 0.750)
Sm (0.000, 0.416, 0.250)
Pb (0.247, 0.416, 0.001)
Pb (0.250, 0.250, 0.500)

Computed properties:
* relative energy among the computed polymorphs: 0 meV/atom
* volume: 31.24 Å³/atom
* ΔE_f: -280 kJ/mol of formula units
* crystal system: monoclinic
* magnetization: 0.00 μB/cell

---

[6]
A relaxed structure of Nd8Sm5Pb, computed with PBE.

a = 13.546 Å, b = 8.866 Å, c = 9.703 Å
α = 90.00°, β = 121.94°, γ = 90.00°
Space group C2 (No. 5)
One atom of each set of equivalent atoms:
Nd (0.070, 0.000, 0.207)
Nd (0.157, 0.377, 0.148)
Nd (0.174, 0.667, 0.454)
Nd (0.205, 0.223, 0.844)
Sm (0.000, 0.954, 0.500)
Sm (0.081, 0.319, 0.435)
Sm (0.115, 0.610, 0.776)
Pb (0.000, 0.686, 0.000)

Computed properties:
* volume: 35.32 Å³/atom
* ΔE_f: 169 kJ/mol of formula units
* crystal system: monoclinic
* magnetization: 0.00 μB/cell

---

[7]
A relaxed structure of Nd5SmPb5, computed with PBE.

a = 14.633 Å, b = 6.422 Å, c = 8.827 Å
α = 90.00°, β = 107.60°, γ = 90.00°
Space group C2/m (No. 12)
One atom of each set of equivalent atoms:
Nd (0.000, 0.000, 0.000)
Nd (0.167, 0.500, 0.332)
Nd (0.167, 0.500, 0.835)
Sm (0.000, 0.000, 0.500)
Pb (0.000, 0.500, 0.500)
Pb (0.164, 0.000, 0.833)
Pb (0.165, 0.000, 0.331)

Computed properties:
* volume: 35.94 Å³/atom
* ΔE_f: -354 kJ/mol of formula units
* crystal system: monoclinic
* magnetization: 1.25 μB/cell

---

[8]
A relaxed structure of NdSm2Pb3, computed with PBE.

a = 5.895 Å, b = 17.715 Å, c = 3.452 Å
α = 90.00°, β = 90.00°, γ = 90.00°
Space group Cmmm (No. 65)
One atom of each set of equivalent atoms:
Nd (0.000, 0.000, 0.000)
Sm (0.000, 0.334, 0.000)
Pb (0.000, 0.168, 0.500)
Pb (0.000, 0.500, 0.500)

Computed properties:
* relative energy among the computed polymorphs: 13 meV/atom
* volume: 30.04 Å³/atom
* ΔE_f: -273 kJ/mol of formula units
* crystal system: orthorhombic
* magnetization: 1.90 μB/cell

---

[9]
A relaxed structure of Nd2Sm3Pb4, computed with PBE.

a = 7.261 Å, b = 17.554 Å, c = 9.206 Å
α = 90.00°, β = 90.00°, γ = 90.00°
Space group Cmce (No. 64)
One atom of each set of equivalent atoms:
Nd (0.000, 0.111, 0.091)
Sm (0.000, 0.000, 0.500)
Sm (0.250, 0.205, 0.750)
Pb (0.000, 0.185, 0.443)
Pb (0.250, 0.029, 0.750)

Computed properties:
* relative energy among the computed polymorphs: 153 meV/atom
* volume: 32.59 Å³/atom
* ΔE_f: -379 kJ/mol of formula units
* crystal system: orthorhombic
* magnetization: 0.00 μB/cell

---

[10]
A relaxed structure of Nd2SmPb9, computed with PBE.

a = 4.924 Å, b = 4.924 Å, c = 14.772 Å
α = 90.00°, β = 90.00°, γ = 90.00°
Space group P4/mmm (No. 123)
One atom of each set of equivalent atoms:
Nd (0.000, 0.000, 0.167)
Sm (0.000, 0.000, 0.500)
Pb (0.000, 0.500, 0.000)
Pb (0.000, 0.500, 0.335)
Pb (0.500, 0.500, 0.167)
Pb (0.500, 0.500, 0.500)

Computed properties:
* volume: 29.85 Å³/atom
* ΔE_f: -421 kJ/mol of formula units
* crystal system: tetragonal
* magnetization: 0.00 μB/cell

---

[11]
A relaxed structure of Nd4SmPb4, computed with PBE.

a = 9.767 Å, b = 9.767 Å, c = 6.523 Å
α = 90.00°, β = 90.00°, γ = 90.00°
Space group P4_2/n (No. 86, origin choice 2)
One atom of each set of equivalent atoms:
Nd (0.033, 0.666, 0.130)
Sm (0.250, 0.250, 0.250)
Pb (0.032, 0.649, 0.623)

Computed properties:
* volume: 34.57 Å³/atom
* ΔE_f: -266 kJ/mol of formula units
* crystal system: tetragonal
* magnetization: 0.00 μB/cell

---

[12]
A relaxed structure of Nd2SmPb, computed with PBE.

a = 3.6214 Å, b = 3.6214 Å, c = 37.1486 Å
α = 90.00°, β = 90.00°, γ = 120.00°
Space group R-3m (No. 166, hexagonal axes)
One atom of each set of equivalent atoms:
Nd (0.0000, 0.0000, 0.0877)
Sm (0.0000, 0.0000, 0.5000)
Pb (0.0000, 0.0000, 0.0000)

Computed properties:
* relative energy among the computed polymorphs: 375 meV/atom
* volume: 35.16 Å³/atom
* ΔE_f: 16 kJ/mol of formula units
* crystal system: trigonal
* magnetization: 0.00 μB/cell

---

[13]
A relaxed structure of Tb2Nd6Sm3Pb, computed with PBE.

a = 6.251 Å, b = 10.864 Å, c = 11.955 Å
α = 90.00°, β = 100.23°, γ = 90.00°
Space group C2/m (No. 12)
One atom of each set of equivalent atoms:
Tb (0.000, 0.165, 0.000)
Nd (0.243, 0.500, 0.751)
Nd (0.245, 0.337, 0.246)
Sm (0.000, 0.000, 0.500)
Sm (0.000, 0.331, 0.500)
Pb (0.000, 0.500, 0.000)

Computed properties:
* volume: 33.29 Å³/atom
* ΔE_f: -55 kJ/mol of formula units
* crystal system: monoclinic
* magnetization: 0.00 μB/cell

---

[14]
A relaxed structure of Tb6Nd2Sm3Pb, computed with PBE.

a = 6.170 Å, b = 10.691 Å, c = 11.844 Å
α = 90.00°, β = 100.07°, γ = 90.00°
Space group C2/m (No. 12)
One atom of each set of equivalent atoms:
Tb (0.243, 0.000, 0.250)
Tb (0.245, 0.163, 0.748)
Nd (0.000, 0.334, 0.500)
Sm (0.000, 0.168, 0.000)
Sm (0.000, 0.500, 0.000)
Pb (0.000, 0.000, 0.500)

Computed properties:
* volume: 32.05 Å³/atom
* ΔE_f: -79 kJ/mol of formula units
* crystal system: monoclinic
* magnetization: 0.00 μB/cell

---

[15]
A relaxed structure of NdSmTlPb, computed with PBE.

a = 7.808 Å, b = 7.808 Å, c = 7.808 Å
α = 90.00°, β = 90.00°, γ = 90.00°
Space group F-43m (No. 216)
One atom of each set of equivalent atoms:
Nd (0.000, 0.000, 0.000)
Sm (0.000, 0.000, 0.500)
Tl (0.250, 0.250, 0.250)
Pb (0.250, 0.250, 0.750)

Computed properties:
* volume: 29.75 Å³/atom
* ΔE_f: -162 kJ/mol of formula units
* crystal system: cubic
* magnetization: 0.00 μB/cell

---

[16]
A relaxed structure of NdSmTmPb, computed with PBE.

a = 7.862 Å, b = 7.862 Å, c = 7.862 Å
α = 90.00°, β = 90.00°, γ = 90.00°
Space group F-43m (No. 216)
One atom of each set of equivalent atoms:
Nd (0.000, 0.000, 0.000)
Sm (0.000, 0.000, 0.500)
Tm (0.250, 0.250, 0.750)
Pb (0.250, 0.250, 0.250)

Computed properties:
* volume: 30.38 Å³/atom
* ΔE_f: -55 kJ/mol of formula units
* crystal system: cubic
* magnetization: 0.01 μB/cell

---

[17]
A relaxed structure of Nd3Sm2Y6Pb, computed with PBE.

a = 6.199 Å, b = 10.738 Å, c = 11.808 Å
α = 90.00°, β = 100.14°, γ = 90.00°
Space group C2/m (No. 12)
One atom of each set of equivalent atoms:
Nd (0.000, 0.000, 0.000)
Nd (0.000, 0.332, 0.000)
Sm (0.000, 0.166, 0.500)
Y (0.244, 0.337, 0.745)
Y (0.245, 0.500, 0.254)
Pb (0.000, 0.500, 0.500)

Computed properties:
* volume: 32.24 Å³/atom
* ΔE_f: -78 kJ/mol of formula units
* crystal system: monoclinic
* magnetization: 0.00 μB/cell

---

[18]
A relaxed structure of NdSm2Zn2Pb2, computed with PBE.

a = 4.8074 Å, b = 4.8074 Å, c = 28.5565 Å
α = 90.00°, β = 90.00°, γ = 120.00°
Space group R-3m (No. 166, hexagonal axes)
One atom of each set of equivalent atoms:
Nd (0.0000, 0.0000, 0.0000)
Sm (0.0000, 0.0000, 0.1323)
Zn (0.0000, 0.0000, 0.4271)
Pb (0.0000, 0.0000, 0.2690)

Computed properties:
* volume: 27.22 Å³/atom
* ΔE_f: -151 kJ/mol of formula units
* crystal system: trigonal
* magnetization: 0.00 μB/cell

---

[19]
A relaxed structure of NdSnPb2, computed with PBE.

a = 3.5539 Å, b = 3.5539 Å, c = 35.7238 Å
α = 90.00°, β = 90.00°, γ = 120.00°
Space group R-3m (No. 166, hexagonal axes)
One atom of each set of equivalent atoms:
Nd (0.0000, 0.0000, 0.0000)
Sn (0.0000, 0.0000, 0.5000)
Pb (0.0000, 0.0000, 0.0912)

Computed properties:
* relative energy among the computed polymorphs: 505 meV/atom
* volume: 32.56 Å³/atom
* ΔE_f: 38 kJ/mol of formula units
* crystal system: trigonal
* magnetization: 0.00 μB/cell

---

[20]
A relaxed structure of NdSn3Pb, computed with PBE.

a = 6.331 Å, b = 6.382 Å, c = 6.387 Å
α = 115.96°, β = 118.22°, γ = 94.73°
Space group P-1 (No. 2)
One atom of each set of equivalent atoms:
Nd (0.000, 0.000, 0.000)
Sn (0.000, 0.500, 0.000)
Sn (0.500, 0.000, 0.500)
Sn (0.500, 0.500, 0.500)
Pb (0.000, 0.500, 0.500)

Computed properties:
* volume: 38.07 Å³/atom
* ΔE_f: 14 kJ/mol of formula units
* crystal system: triclinic
* magnetization: 0.00 μB/cell

---

[21]
A relaxed structure of Nd8SnPb5, computed with PBE.

a = 9.701 Å, b = 9.701 Å, c = 9.692 Å
α = 90.00°, β = 90.00°, γ = 90.00°
Space group I-4 (No. 82)
One atom of each set of equivalent atoms:
Nd (0.069, 0.180, 0.304)
Nd (0.069, 0.317, 0.944)
Sn (0.000, 0.000, 0.000)
Pb (0.000, 0.500, 0.250)
Pb (0.125, 0.250, 0.624)

Computed properties:
* volume: 32.57 Å³/atom
* ΔE_f: -823 kJ/mol of formula units
* crystal system: tetragonal
* magnetization: 0.00 μB/cell

---

[22]
A relaxed structure of Nd5Sn2Pb2, computed with PBE.

a = 16.134 Å, b = 8.452 Å, c = 8.462 Å
α = 90.00°, β = 90.00°, γ = 90.00°
Space group Cmce (No. 64)
One atom of each set of equivalent atoms:
Nd (0.000, 0.000, 0.000)
Nd (0.136, 0.174, 0.329)
Sn (0.000, 0.128, 0.629)
Pb (0.208, 0.000, 0.000)

Computed properties:
* relative energy among the computed polymorphs: 0 meV/atom
* volume: 32.05 Å³/atom
* ΔE_f: -589 kJ/mol of formula units
* crystal system: orthorhombic
* magnetization: 0.00 μB/cell